# 1
VASP calculation (PBE) on a relaxed structure of VN2Cl.

Summary:
ΔE to the lowest computed polymorph: 0.189 eV/atom
density of states at the Fermi level: 1.031 states/eV/atom

```
data_VN2Cl
_symmetry_space_group_name_H-M 'P 1'
_symmetry_Int_Tables_number 1
_cell_length_a 5.860
_cell_length_b 5.860
_cell_length_c 5.872
_cell_angle_alpha 60.07
_cell_angle_beta 60.07
_cell_angle_gamma 90.00
loop_
_symmetry_equiv_pos_as_xyz
'x,y,z'
loop_
_atom_site_label
_atom_site_type_symbol
_atom_site_fract_x
_atom_site_fract_y
_atom_site_fract_z
V1 V 0.000 0.000 0.000
V2 V 0.750 0.250 0.500
Cl1 Cl 0.500 0.500 0.000
Cl2 Cl 0.250 0.750 0.500
N1 N 0.873 0.125 0.250
N2 N 0.877 0.625 0.250
N3 N 0.375 0.127 0.750
N4 N 0.875 0.123 0.750
```

***

# 2
VASP calculation (PBE) on a relaxed structure of VN3Cl.

Summary:
VASP energy: -5.966 eV/atom
density of states at the Fermi level: 0.764 states/eV/atom

```
data_VN3Cl
_symmetry_space_group_name_H-M 'P 1'
_symmetry_Int_Tables_number 1
_cell_length_a 3.905
_cell_length_b 3.905
_cell_length_c 3.905
_cell_angle_alpha 90.00
_cell_angle_beta 90.00
_cell_angle_gamma 90.00
loop_
_symmetry_equiv_pos_as_xyz
'x,y,z'
loop_
_atom_site_label
_atom_site_type_symbol
_atom_site_fract_x
_atom_site_fract_y
_atom_site_fract_z
V1 V 0.000 0.000 0.000
Cl1 Cl 0.500 0.500 0.500
N1 N 0.000 0.500 0.000
N2 N 0.000 0.000 0.500
N3 N 0.500 0.000 0.000
```

***

# 3
VASP calculation (PBE) on a relaxed structure of VN3Cl.

Summary:
VASP energy: -4.880 eV/atom
density of states at the Fermi level: 0.515 states/eV/atom

```
data_VN3Cl
_symmetry_space_group_name_H-M 'P 1'
_symmetry_Int_Tables_number 1
_cell_length_a 3.681
_cell_length_b 3.681
_cell_length_c 3.681
_cell_angle_alpha 90.00
_cell_angle_beta 90.00
_cell_angle_gamma 90.00
loop_
_symmetry_equiv_pos_as_xyz
'x,y,z'
loop_
_atom_site_label
_atom_site_type_symbol
_atom_site_fract_x
_atom_site_fract_y
_atom_site_fract_z
V1 V 0.500 0.500 0.500
Cl1 Cl 0.000 0.000 0.000
N1 N 0.000 0.500 0.000
N2 N 0.000 0.000 0.500
N3 N 0.500 0.000 0.000
```

***

# 4
VASP calculation (PBE) on a relaxed structure of VN2Cl.

Summary:
ΔE to the lowest computed polymorph: 1.653 eV/atom
density of states at the Fermi level: 0.844 states/eV/atom

```
data_VN2Cl
_symmetry_space_group_name_H-M 'P 1'
_symmetry_Int_Tables_number 1
_cell_length_a 6.965
_cell_length_b 6.965
_cell_length_c 6.965
_cell_angle_alpha 25.16
_cell_angle_beta 25.16
_cell_angle_gamma 25.16
loop_
_symmetry_equiv_pos_as_xyz
'x,y,z'
loop_
_atom_site_label
_atom_site_type_symbol
_atom_site_fract_x
_atom_site_fract_y
_atom_site_fract_z
V1 V 0.000 0.000 0.000
Cl1 Cl 0.500 0.500 0.500
N1 N 0.913 0.913 0.913
N2 N 0.087 0.087 0.087
```

***

# 5
VASP calculation (PBE) on a relaxed structure of V3NCl.

Summary:
VASP energy: -7.493 eV/atom
density of states at the Fermi level: 0.813 states/eV/atom

```
data_V3NCl
_symmetry_space_group_name_H-M 'P 1'
_symmetry_Int_Tables_number 1
_cell_length_a 3.997
_cell_length_b 3.997
_cell_length_c 3.997
_cell_angle_alpha 90.00
_cell_angle_beta 90.00
_cell_angle_gamma 90.00
loop_
_symmetry_equiv_pos_as_xyz
'x,y,z'
loop_
_atom_site_label
_atom_site_type_symbol
_atom_site_fract_x
_atom_site_fract_y
_atom_site_fract_z
V1 V 0.000 0.500 0.000
V2 V 0.000 0.000 0.500
V3 V 0.500 0.000 0.000
Cl1 Cl 0.500 0.500 0.500
N1 N 0.000 0.000 0.000
```

***

# 6
VASP calculation (PBE) on a relaxed structure of VN2Cl.

Summary:
ΔE to the lowest computed polymorph: 0.000 eV/atom
density of states at the Fermi level: 0.397 states/eV/atom

```
data_VN2Cl
_symmetry_space_group_name_H-M 'P 1'
_symmetry_Int_Tables_number 1
_cell_length_a 6.209
_cell_length_b 6.209
_cell_length_c 6.209
_cell_angle_alpha 27.82
_cell_angle_beta 27.82
_cell_angle_gamma 27.82
loop_
_symmetry_equiv_pos_as_xyz
'x,y,z'
loop_
_atom_site_label
_atom_site_type_symbol
_atom_site_fract_x
_atom_site_fract_y
_atom_site_fract_z
V1 V 0.500 0.500 0.500
Cl1 Cl 0.000 0.000 0.000
N1 N 0.891 0.891 0.891
N2 N 0.109 0.109 0.109
```

***

# 7
VASP calculation (PBE) on a relaxed structure of W2NCl9.

Summary:
VASP energy: -5.064 eV/atom
density of states at the Fermi level: 0.000 states/eV/atom

```
data_W2NCl9
_symmetry_space_group_name_H-M 'P 1'
_symmetry_Int_Tables_number 1
_cell_length_a 17.047
_cell_length_b 9.499
_cell_length_c 13.327
_cell_angle_alpha 45.21
_cell_angle_beta 90.00
_cell_angle_gamma 90.00
loop_
_symmetry_equiv_pos_as_xyz
'x,y,z'
loop_
_atom_site_label
_atom_site_type_symbol
_atom_site_fract_x
_atom_site_fract_y
_atom_site_fract_z
W1 W 0.188 0.183 0.466
W2 W 0.312 0.183 0.966
W3 W 0.688 0.817 0.034
W4 W 0.907 0.832 0.034
W5 W 0.093 0.168 0.966
W6 W 0.593 0.832 0.534
W7 W 0.812 0.817 0.534
W8 W 0.407 0.168 0.466
N1 N 0.696 0.831 0.534
N2 N 0.196 0.169 0.966
N3 N 0.304 0.169 0.466
N4 N 0.804 0.831 0.034
Cl1 Cl 0.817 0.108 0.478
Cl2 Cl 0.447 0.205 0.966
Cl3 Cl 0.569 0.543 0.594
Cl4 Cl 0.431 0.457 0.406
Cl5 Cl 0.053 0.205 0.466
Cl6 Cl 0.191 0.360 0.229
Cl7 Cl 0.196 0.001 0.704
Cl8 Cl 0.183 0.892 0.522
Cl9 Cl 0.795 0.528 0.590
Cl10 Cl 0.075 0.862 0.029
Cl11 Cl 0.295 0.472 0.910
Cl12 Cl 0.205 0.472 0.410
Cl13 Cl 0.576 0.015 0.298
Cl14 Cl 0.691 0.640 0.271
Cl15 Cl 0.309 0.360 0.729
Cl16 Cl 0.577 0.673 0.766
Cl17 Cl 0.696 0.999 0.796
Cl18 Cl 0.924 0.015 0.798
Cl19 Cl 0.575 0.138 0.471
Cl20 Cl 0.923 0.673 0.266
Cl21 Cl 0.423 0.327 0.234
Cl22 Cl 0.069 0.457 0.906
Cl23 Cl 0.705 0.528 0.090
Cl24 Cl 0.425 0.862 0.529
Cl25 Cl 0.553 0.795 0.034
Cl26 Cl 0.947 0.795 0.534
Cl27 Cl 0.804 0.999 0.296
Cl28 Cl 0.683 0.108 0.978
Cl29 Cl 0.809 0.640 0.771
Cl30 Cl 0.424 0.985 0.702
Cl31 Cl 0.077 0.327 0.734
Cl32 Cl 0.076 0.985 0.202
Cl33 Cl 0.925 0.138 0.971
Cl34 Cl 0.317 0.892 0.022
Cl35 Cl 0.304 0.001 0.204
Cl36 Cl 0.931 0.543 0.094
```

***

# 8
VASP calculation (PBE) on a relaxed structure of WN2Cl6.

Summary:
VASP energy: -4.035 eV/atom
density of states at the Fermi level: 0.000 states/eV/atom

```
data_WN2Cl6
_symmetry_space_group_name_H-M 'P 1'
_symmetry_Int_Tables_number 1
_cell_length_a 7.312
_cell_length_b 7.312
_cell_length_c 7.312
_cell_angle_alpha 60.00
_cell_angle_beta 60.00
_cell_angle_gamma 60.00
loop_
_symmetry_equiv_pos_as_xyz
'x,y,z'
loop_
_atom_site_label
_atom_site_type_symbol
_atom_site_fract_x
_atom_site_fract_y
_atom_site_fract_z
W1 W 0.000 0.000 0.000
N1 N 0.250 0.250 0.250
N2 N 0.750 0.750 0.750
Cl1 Cl 0.223 0.777 0.223
Cl2 Cl 0.777 0.223 0.777
Cl3 Cl 0.223 0.223 0.777
Cl4 Cl 0.777 0.777 0.223
Cl5 Cl 0.777 0.223 0.223
Cl6 Cl 0.223 0.777 0.777
```

***

# 9
VASP calculation (PBE) on a relaxed structure of W3NCl.

Summary:
ΔE to the lowest computed polymorph: 0.000 eV/atom
density of states at the Fermi level: 0.724 states/eV/atom

```
data_W3NCl
_symmetry_space_group_name_H-M 'P 1'
_symmetry_Int_Tables_number 1
_cell_length_a 4.178
_cell_length_b 4.178
_cell_length_c 4.178
_cell_angle_alpha 90.00
_cell_angle_beta 90.00
_cell_angle_gamma 90.00
loop_
_symmetry_equiv_pos_as_xyz
'x,y,z'
loop_
_atom_site_label
_atom_site_type_symbol
_atom_site_fract_x
_atom_site_fract_y
_atom_site_fract_z
N1 N 0.000 0.000 0.000
W1 W 0.000 0.500 0.000
W2 W 0.000 0.000 0.500
W3 W 0.500 0.000 0.000
Cl1 Cl 0.500 0.500 0.500
```

***

# 10
VASP calculation (PBE) on a relaxed structure of WN3Cl.

Summary:
VASP energy: -5.323 eV/atom
density of states at the Fermi level: 0.792 states/eV/atom

```
data_WN3Cl
_symmetry_space_group_name_H-M 'P 1'
_symmetry_Int_Tables_number 1
_cell_length_a 3.631
_cell_length_b 3.631
_cell_length_c 3.631
_cell_angle_alpha 90.00
_cell_angle_beta 90.00
_cell_angle_gamma 90.00
loop_
_symmetry_equiv_pos_as_xyz
'x,y,z'
loop_
_atom_site_label
_atom_site_type_symbol
_atom_site_fract_x
_atom_site_fract_y
_atom_site_fract_z
N1 N 0.000 0.500 0.000
N2 N 0.000 0.000 0.500
N3 N 0.500 0.000 0.000
W1 W 0.500 0.500 0.500
Cl1 Cl 0.000 0.000 0.000
```

***

# 11
VASP calculation (PBE) on a relaxed structure of WNCl3.

Summary:
VASP energy: -6.118 eV/atom
density of states at the Fermi level: 0.000 states/eV/atom

```
data_WNCl3
_symmetry_space_group_name_H-M 'P 1'
_symmetry_Int_Tables_number 1
_cell_length_a 8.551
_cell_length_b 8.413
_cell_length_c 9.312
_cell_angle_alpha 98.05
_cell_angle_beta 108.44
_cell_angle_gamma 109.32
loop_
_symmetry_equiv_pos_as_xyz
'x,y,z'
loop_
_atom_site_label
_atom_site_type_symbol
_atom_site_fract_x
_atom_site_fract_y
_atom_site_fract_z
N1 N 0.553 0.663 0.692
N2 N 0.447 0.337 0.308
N3 N 0.454 0.288 0.606
N4 N 0.546 0.712 0.394
W1 W 0.613 0.843 0.619
W2 W 0.387 0.157 0.381
W3 W 0.494 0.447 0.770
W4 W 0.506 0.553 0.230
Cl1 Cl 0.200 0.458 0.102
Cl2 Cl 0.800 0.542 0.898
Cl3 Cl 0.557 0.722 0.054
Cl4 Cl 0.443 0.278 0.946
Cl5 Cl 0.791 0.556 0.300
Cl6 Cl 0.209 0.444 0.700
Cl7 Cl 0.096 0.114 0.345
Cl8 Cl 0.904 0.886 0.655
Cl9 Cl 0.290 0.931 0.160
Cl10 Cl 0.710 0.069 0.840
Cl11 Cl 0.674 0.140 0.474
Cl12 Cl 0.326 0.860 0.526
```

***

# 12
VASP calculation (PBE) on a relaxed structure of WNCl3.

Summary:
VASP energy: -5.901 eV/atom

```
data_WNCl3
_symmetry_space_group_name_H-M 'P 1'
_symmetry_Int_Tables_number 1
_cell_length_a 7.053
_cell_length_b 7.338
_cell_length_c 11.892
_cell_angle_alpha 87.42
_cell_angle_beta 84.63
_cell_angle_gamma 61.28
loop_
_symmetry_equiv_pos_as_xyz
'x,y,z'
loop_
_atom_site_label
_atom_site_type_symbol
_atom_site_fract_x
_atom_site_fract_y
_atom_site_fract_z
W1 W 0.982 0.900 0.153
W2 W 0.119 0.900 0.347
W3 W 0.018 0.100 0.847
W4 W 0.881 0.100 0.653
N1 N 0.248 0.673 0.217
N2 N 0.079 0.673 0.283
N3 N 0.752 0.327 0.783
N4 N 0.921 0.327 0.717
Cl1 Cl 0.765 0.190 0.017
Cl2 Cl 0.044 0.190 0.483
Cl3 Cl 0.235 0.810 0.983
Cl4 Cl 0.956 0.810 0.517
Cl5 Cl 0.809 0.728 0.097
Cl6 Cl 0.463 0.728 0.403
Cl7 Cl 0.191 0.272 0.903
Cl8 Cl 0.537 0.272 0.597
Cl9 Cl 0.723 0.122 0.297
Cl10 Cl 0.155 0.122 0.203
Cl11 Cl 0.277 0.878 0.703
Cl12 Cl 0.845 0.878 0.797
```